[1]
Entry from Alexandria: a relaxed structure of Ba3Pd4Pb4 (PBE-GGA).

abc: 4.732 8.069 9.312
angles: 115.67 104.72 90.00
Fractional coordinates of all 11 atoms:
Ba  0.121  0.121  0.242
Ba  0.879  0.879  0.758
Ba  0.000  0.500  0.000
Pd  0.215  0.715  0.430
Pd  0.785  0.285  0.570
Pd  0.500  0.814  0.000
Pd  0.500  0.186  0.000
Pb  0.329  0.133  0.659
Pb  0.671  0.474  0.341
Pb  0.671  0.867  0.341
Pb  0.329  0.526  0.659

Summary:
Calculated volume (Å³/cell): 307
Calculated total energy (eV per atom): -4.2864

[2]
Entry from Alexandria: a relaxed structure of PrGeN2 (PBE-GGA).

abc: 3.837 3.837 6.377
angles: 72.49 72.49 60.00
Fractional coordinates of all 4 atoms:
Pr  0.500  0.500  0.500
Ge  0.000  0.000  0.000
N  0.099  0.099  0.703
N  0.901  0.901  0.297

Summary:
Calculated volume (Å³/cell): 76
Calculated total energy (eV per atom): -6.8227

[3]
Entry from Alexandria: a relaxed structure of Mg4Tl (PBE-GGA).

abc: 8.225 8.225 8.225
angles: 150.88 150.88 41.65
Fractional coordinates of all 5 atoms:
Mg  0.750  0.250  0.500
Mg  0.250  0.750  0.500
Mg  0.597  0.597  0.000
Mg  0.403  0.403  0.000
Tl  0.000  0.000  0.000

Summary:
Calculated volume (Å³/cell): 131
Calculated total energy (eV per atom): -1.5953

[4]
Entry from Alexandria: a relaxed structure of RbInAg3 (PBE-GGA).

abc: 6.285 7.385 7.385
angles: 61.48 64.82 64.82
Fractional coordinates of all 10 atoms:
Rb  0.992  0.758  0.258
Rb  0.008  0.242  0.742
In  0.500  0.500  0.500
In  0.500  0.000  0.000
Ag  0.500  0.692  0.808
Ag  0.000  0.692  0.808
Ag  0.000  0.308  0.192
Ag  0.500  0.308  0.192
Ag  0.689  0.061  0.561
Ag  0.311  0.939  0.439

Summary:
Calculated volume (Å³/cell): 262
Calculated total energy (eV per atom): -2.3473

[5]
Entry from Alexandria: a relaxed structure of CaMo3N (PBE-GGA).

abc: 4.588 4.588 4.588
angles: 90.00 90.00 90.00
Fractional coordinates of all 5 atoms:
Mo  0.000  0.500  0.000
Mo  0.000  0.000  0.500
Mo  0.500  0.000  0.000
Ca  0.000  0.000  0.000
N  0.500  0.500  0.500

Summary:
Calculated volume (Å³/cell): 97
Calculated total energy (eV per atom): -4.7982

[6]
Entry from Alexandria: a relaxed structure of TlSi2Pd2 (PBE-GGA).

abc: 3.805 3.805 6.816
angles: 73.79 73.79 90.00
Fractional coordinates of all 5 atoms:
Tl  0.000  0.000  0.000
Si  0.750  0.250  0.500
Si  0.250  0.750  0.500
Pd  0.373  0.373  0.254
Pd  0.627  0.627  0.746

Summary:
Calculated volume (Å³/cell): 91
Calculated total energy (eV per atom): -4.9418